1.
! GGA-PBE CuNi2H2, relaxed; values from VASP
&SYSTEM
  ibrav = 0, nat = 10, ntyp = 3
/
ATOMIC_SPECIES
Cu 63.55 Cu.upf
Ni 58.69 Ni.upf
H 1.01 H.upf
ATOMIC_POSITIONS angstrom
Cu -2.294 -0.071 -0.246
Cu -1.460 -0.013 2.788
Ni -2.417 -1.992 1.456
Ni -0.062 -0.960 0.851
Ni -0.957 -1.979 -1.332
Ni -1.080 -3.899 0.369
H -1.968 -2.229 -2.658
H -2.619 2.087 2.166
H -0.903 -3.706 -1.339
H -1.134 -2.171 0.376
CELL_PARAMETERS angstrom
-2.735 2.855 3.024
-1.852 -2.997 -3.516
2.109 -2.810 2.799
! Distance to the lowest polymorph of the same formula (meV per atom): 1.3

2.
! GGA-PBE Mo2HIrOs, relaxed; values from VASP
&SYSTEM
  ibrav = 0, nat = 5, ntyp = 4
/
ATOMIC_SPECIES
H 1.01 H.upf
Mo 95.94 Mo.upf
Ir 192.22 Ir.upf
Os 190.23 Os.upf
ATOMIC_POSITIONS angstrom
H 0.000 0.000 0.000
Mo -1.072 -1.678 -0.084
Mo -1.085 0.616 1.554
Ir -0.898 -1.928 2.693
Os 1.259 -0.866 1.222
CELL_PARAMETERS angstrom
-2.170 1.232 3.108
-2.145 -3.355 -0.168
2.519 -1.732 2.445
! Distance to the lowest polymorph of the same formula (meV per atom): 0.0

3.
! GGA-PBE Cr5SiRh6, relaxed; values from VASP
&SYSTEM
  ibrav = 0, nat = 12, ntyp = 3
/
ATOMIC_SPECIES
Cr 52.00 Cr.upf
Si 28.09 Si.upf
Rh 102.91 Rh.upf
ATOMIC_POSITIONS angstrom
Cr 0.999 -0.913 4.852
Cr 0.660 -2.986 3.145
Cr -1.604 -1.836 2.550
Cr -1.837 -3.872 0.938
Cr -4.206 -2.760 0.248
Si 0.000 0.000 0.000
Rh 0.665 -0.350 2.425
Rh -1.058 -2.323 5.165
Rh -1.694 0.815 1.589
Rh -1.513 -4.487 3.511
Rh -2.149 -1.349 -0.064
Rh -3.872 -3.322 2.676
CELL_PARAMETERS angstrom
-2.030 3.186 1.017
-4.801 -4.924 -1.684
3.624 -1.934 5.767
! Raw formation energy (meV/atom): -228

no.,VASP energy (eV per atom)
1,-4.465
2,-9.077
3,-8.365